# PBE Ba3SrSe, relaxed
# - Crystal system: cubic
# - E_tot: -1.708 eV per atom
# - Energy relative to the elements, uncorrected: 0.479 eV/atom
data_Ba3SrSe
_cell_length_a 6.5030
_cell_length_b 6.5030
_cell_length_c 6.5030
_cell_angle_alpha 90.00
_cell_angle_beta 90.00
_cell_angle_gamma 90.00
_space_group_name_H-M_alt 'P m -3 m'
_space_group_IT_number 221
_space_group_name_Hall '-P 4 2 3'
loop_
_atom_site_label
_atom_site_type_symbol
_atom_site_fract_x
_atom_site_fract_y
_atom_site_fract_z
Ba1 Ba 0.0000 0.0000 0.5000
Sr1 Sr 0.0000 0.0000 0.0000
Se1 Se 0.5000 0.5000 0.5000